VASP calculation (PBE with a Hubbard U) on a geometry-optimized VReO4 structure.

Output
Its crystal system is orthorhombic. Its size of the total moment is 3.951 μB per cell. As for the space group: Cmmm, No. 65. The value obtained for the energy relative to the lowest polymorph listed for this composition is 0.17 eV per formula unit.

Lattice parameters (Å, degrees): 4.7917 4.7917 5.7600 90.00 90.00 92.10
With the nearest neighbours (Å) after each atom.
Atoms (fractional coordinates):
V 0.0000 0.0000 0.0000  6 O 1.94-1.99
V 0.0000 0.0000 0.5000  6 O 2.02-2.15
Re 0.5000 0.5000 0.2246  6 O 1.93-2.05
Re 0.5000 0.5000 0.7754  6 O 1.93-2.05
O 0.2104 0.2104 0.2464  1 Re 1.93, 2 V 1.99-2.02
O 0.2104 0.2104 0.7536  1 Re 1.93, 2 V 1.99-2.02
O 0.2811 0.7189 0.0000  1 V 1.94, 2 Re 1.99
O 0.3113 0.6887 0.5000  2 Re 2.05, 1 V 2.15
O 0.6887 0.3113 0.5000  2 Re 2.05, 1 V 2.15
O 0.7189 0.2811 0.0000  1 V 1.94, 2 Re 1.99
O 0.7896 0.7896 0.2464  1 Re 1.93, 2 V 1.99-2.02
O 0.7896 0.7896 0.7536  1 Re 1.93, 2 V 1.99-2.02